Compound: HfTa2CuO
Source: Alexandria
Functional: PBE
Structure: relaxed

Calculated values
- Formation energy without anion corrections: 1426 meV per atom
- Size of the total moment: 0.55 μB per formula unit

Cell lengths 4.5939, 4.8486, 4.5939 Å; angles 90.00, 90.00, 90.00 degrees
Last column: nearest neighbours and their distance in Å.
Fractional coordinates of all 5 atoms:
1 Hf 0.0000 0.5000 0.0000  2 Cu 2.42
2 O 0.5000 0.5000 0.5000  4 Hf 3.25, 8 Ta 3.34
3 Cu 0.0000 0.0000 0.0000  4 Ta 2.30, 2 Hf 2.42
4 Ta 0.0000 0.0000 0.5000  2 Cu 2.30
5 Ta 0.5000 0.0000 0.0000  2 Cu 2.30

---

Compound: Rb3Ho3GaSe8
Source: Alexandria
Functional: PBE
Structure: relaxed

Calculated values
- Formation energy without anion corrections: -1379 meV per atom
- Size of the total moment: 0.00 μB per formula unit

Cell lengths 8.1752, 8.1802, 9.5110 Å; angles 115.50, 90.00, 119.99 degrees
Last column: nearest neighbours and their distance in Å.
Fractional coordinates of all 15 atoms:
1 Rb 0.0000 0.0000 0.0000  6 Se 3.44-3.47
2 Rb 0.0000 0.5000 0.0000  6 Se 3.44-3.47
3 Rb 0.5000 0.5000 0.0000  6 Se 3.44-3.47
4 Ho 0.5000 0.0000 0.5000  6 Se 2.86-2.87
5 Ho 0.5000 0.5000 0.5000  6 Se 2.86-2.87
6 Ho 0.0000 0.5000 0.5000  6 Se 2.86-2.87
7 Ga 0.0000 0.0000 0.5000  6 Se 2.71-2.72
8 Se 0.2679 0.5359 0.3039  3 Ho 2.86
9 Se 0.7321 0.4641 0.6961  3 Ho 2.86
10 Se 0.7804 0.5607 0.3148  1 Ga 2.71, 2 Ho 2.87
11 Se 0.2196 0.4393 0.6852  1 Ga 2.71, 2 Ho 2.87
12 Se 0.7797 0.0347 0.3143  1 Ga 2.72, 2 Ho 2.87
13 Se 0.2203 0.9653 0.6857  1 Ga 2.72, 2 Ho 2.87
14 Se 0.2550 0.0347 0.3143  1 Ga 2.72, 2 Ho 2.87
15 Se 0.7450 0.9653 0.6857  1 Ga 2.72, 2 Ho 2.87

---

Compound: BeCd2As
Source: Alexandria
Functional: PBE
Structure: relaxed

Calculated values
- Size of the total moment: 0.00 μB per formula unit
- E_form: 0.230 eV per atom

Cell lengths 6.5201, 6.5201, 6.5201 Å; angles 147.86, 145.78, 47.65 degrees
Last column: nearest neighbours and their distance in Å.
Fractional coordinates of all 4 atoms:
1 Be 0.6891 0.1891 0.5000  2 As 2.20
2 As 0.5841 0.5841 0.0000  2 Be 2.20
3 Cd 0.9581 0.9581 0.0000  2 Cd 2.96, 4 As 3.03
4 Cd 0.2687 0.7687 0.5000  4 Be 2.80, 2 As 2.92, 2 Cd 2.96

---

Compound: ThAg2Hg
Source: Alexandria
Functional: PBE
Structure: relaxed

Calculated values
- Size of the total moment: 0.00 μB per formula unit
- E_form: -0.125 eV per atom

Cell lengths 4.9475, 3.3268, 11.2963 Å; angles 98.47, 90.00, 90.00 degrees
Last column: nearest neighbours and their distance in Å.
Fractional coordinates of all 8 atoms:
1 Th 0.2500 0.9046 0.8093  8 Ag 3.27-3.42, 2 Th 3.33, 4 Hg 3.33
2 Th 0.7500 0.0954 0.1907  8 Ag 3.27-3.42, 2 Th 3.33, 4 Hg 3.33
3 Ag 0.2500 0.2707 0.5415  4 Hg 2.90-2.95, 4 Ag 3.12
4 Ag 0.7500 0.7293 0.4585  4 Hg 2.90-2.95, 4 Ag 3.12
5 Ag 0.7500 0.4693 0.9385  2 Ag 2.83, 1 Hg 2.92
6 Ag 0.2500 0.5307 0.0615  2 Ag 2.83, 1 Hg 2.92
7 Hg 0.7500 0.3385 0.6771  5 Ag 2.90-2.95
8 Hg 0.2500 0.6615 0.3229  5 Ag 2.90-2.95

---

Compound: CdIn2Rh
Source: Alexandria
Functional: PBE
Structure: relaxed

Calculated values
- Size of the total moment: 0.00 μB per formula unit
- E_form: -0.072 eV per atom

Cell lengths 5.1886, 5.1886, 5.1886 Å; angles 130.94, 130.94, 71.91 degrees
Last column: nearest neighbours and their distance in Å.
Fractional coordinates of all 4 atoms:
1 Cd 0.0000 0.0000 0.0000  8 In 3.01, 4 Rh 3.05
2 In 0.7500 0.2500 0.5000  4 Cd 3.01, 4 Rh 3.01, 4 In 3.05
3 In 0.2500 0.7500 0.5000  4 Cd 3.01, 4 Rh 3.01, 4 In 3.05
4 Rh 0.5000 0.5000 0.0000  8 In 3.01, 4 Cd 3.05

---

Compound: SrLi2Br
Source: Alexandria
Functional: PBE
Structure: relaxed

Calculated values
- Formation energy without anion corrections: -138 meV per atom
- Size of the total moment: 0.92 μB per formula unit

Cell lengths 5.6116, 5.6116, 5.6116 Å; angles 60.00, 60.00, 60.00 degrees
Last column: nearest neighbours and their distance in Å.
Fractional coordinates of all 4 atoms:
1 Sr 0.5000 0.5000 0.5000  8 Li 3.44
2 Br 0.0000 0.0000 0.0000  8 Li 3.44
3 Li 0.2500 0.2500 0.2500  4 Br 3.44, 4 Sr 3.44
4 Li 0.7500 0.7500 0.7500  4 Br 3.44, 4 Sr 3.44

---

Compound: ZnBiBr2
Source: Alexandria
Functional: PBE
Structure: relaxed

Calculated values
- Formation energy without anion corrections: -363 meV per atom
- Size of the total moment: 0.00 μB per formula unit

Cell lengths 13.1876, 13.1876, 13.1876 Å; angles 15.69, 15.69, 15.69 degrees
Last column: nearest neighbours and their distance in Å.
Fractional coordinates of all 4 atoms:
1 Zn 0.5000 0.5000 0.5000  6 Br 2.60
2 Bi 0.0000 0.0000 0.0000  6 Bi 3.60
3 Br 0.8733 0.8733 0.8733  3 Zn 2.60
4 Br 0.1267 0.1267 0.1267  3 Zn 2.60

---

Compound: RbScPb3
Source: Alexandria
Functional: PBE
Structure: relaxed

Calculated values
- Size of the total moment: 0.00 μB per formula unit
- E_form: -0.020 eV per atom

Cell lengths 5.7389, 5.7389, 5.7389 Å; angles 90.00, 90.00, 90.00 degrees
Last column: nearest neighbours and their distance in Å.
Fractional coordinates of all 5 atoms:
1 Pb 0.0000 0.5000 0.0000  2 Sc 2.87
2 Pb 0.0000 0.0000 0.5000  2 Sc 2.87
3 Pb 0.5000 0.0000 0.0000  2 Sc 2.87
4 Sc 0.0000 0.0000 0.0000  6 Pb 2.87
5 Rb 0.5000 0.5000 0.5000  12 Pb 4.06

---

Compound: CaLa2Sm6Ho3
Source: Alexandria
Functional: PBE
Structure: relaxed

Calculated values
- Size of the total moment: 0.00 μB per formula unit
- E_form: 0.040 eV per atom

Cell lengths 6.3088, 6.3088, 12.0392 Å; angles 95.01, 95.01, 120.03 degrees
Last column: nearest neighbours and their distance in Å.
Fractional coordinates of all 12 atoms:
1 Ca 0.0000 0.0000 0.0000  6 La 3.64, 6 Sm 3.73
2 La 0.3331 0.6669 0.0000  3 La 3.64-3.65, 3 Ca 3.64, 6 Sm 3.71
3 La 0.6669 0.3331 0.0000  3 La 3.64-3.65, 3 Ca 3.64, 6 Sm 3.71
4 Sm 0.9135 0.5767 0.7418  3 Ho 3.55-3.56, 6 Sm 3.62-3.68, 2 La 3.71, 1 Ca 3.73
5 Sm 0.7501 0.7501 0.2587  3 Ho 3.54-3.55, 6 Sm 3.62-3.68, 2 La 3.71, 1 Ca 3.73
6 Sm 0.0865 0.4233 0.2582  3 Ho 3.55-3.56, 6 Sm 3.62-3.68, 2 La 3.71, 1 Ca 3.73
7 Sm 0.5767 0.9135 0.7418  3 Ho 3.55-3.56, 6 Sm 3.62-3.68, 2 La 3.71, 1 Ca 3.73
8 Sm 0.2499 0.2499 0.7413  3 Ho 3.54-3.55, 6 Sm 3.62-3.68, 2 La 3.71, 1 Ca 3.73
9 Sm 0.4233 0.0865 0.2582  3 Ho 3.55-3.56, 6 Sm 3.62-3.68, 2 La 3.71, 1 Ca 3.73
10 Ho 0.1657 0.8343 0.5000  6 Sm 3.55-3.56, 6 Ho 3.62-3.65
11 Ho 0.8343 0.1657 0.5000  6 Sm 3.55-3.56, 6 Ho 3.62-3.65
12 Ho 0.5000 0.5000 0.5000  6 Sm 3.54-3.56, 6 Ho 3.64-3.65

---

Compound: Ce5BiIr2
Source: Alexandria
Functional: PBE
Structure: relaxed

Calculated values
- Size of the total moment: 3.76 μB per formula unit
- E_form: -0.611 eV per atom

Cell lengths 7.7632, 7.7632, 8.8996 Å; angles 115.86, 115.86, 90.00 degrees
Last column: nearest neighbours and their distance in Å.
Fractional coordinates of all 16 atoms:
1 Ce 0.4973 0.7279 0.7252  3 Ir 2.85-3.09, 1 Ce 2.96
2 Ce 0.7721 0.0027 0.2748  3 Ir 2.85-3.09, 1 Ce 2.96
3 Ce 0.0000 0.0000 0.0000  4 Ir 2.87
4 Ce 0.5000 0.5000 0.0000  4 Ir 2.87
5 Ce 0.2279 0.9973 0.7252  3 Ir 2.85-3.09, 1 Ce 2.96
6 Ce 0.7279 0.2279 0.7252  3 Ir 2.85-3.09, 1 Ce 2.96
7 Ce 0.9973 0.4973 0.7252  3 Ir 2.85-3.09, 1 Ce 2.96
8 Ce 0.2721 0.7721 0.2748  3 Ir 2.85-3.09, 1 Ce 2.96
9 Ce 0.0027 0.5027 0.2748  3 Ir 2.85-3.09, 1 Ce 2.96
10 Ce 0.5027 0.2721 0.2748  3 Ir 2.85-3.09, 1 Ce 2.96
11 Bi 0.7500 0.7500 0.5000  10 Ce 3.41-3.50
12 Bi 0.2500 0.2500 0.5000  10 Ce 3.41-3.50
13 Ir 0.1744 0.3256 0.0000  8 Ce 2.85-3.09
14 Ir 0.6744 0.1744 0.0000  8 Ce 2.85-3.09
15 Ir 0.3256 0.8256 0.0000  8 Ce 2.85-3.09
16 Ir 0.8256 0.6744 0.0000  8 Ce 2.85-3.09

---

Compound: ScPaTe2N
Source: Alexandria
Functional: PBE
Structure: relaxed

Calculated values
- Formation energy without anion corrections: -1425 meV per atom
- Size of the total moment: 0.28 μB per formula unit

Cell lengths 4.0022, 4.0022, 14.4884 Å; angles 90.00, 90.00, 90.00 degrees
Last column: nearest neighbours and their distance in Å.
Fractional coordinates of all 10 atoms:
1 Sc 0.5000 0.0000 0.0847  6 Te 2.87-3.14
2 Sc 0.0000 0.5000 0.9153  6 Te 2.87-3.14
3 Pa 0.5000 0.0000 0.5795  4 N 2.31
4 Pa 0.0000 0.5000 0.4205  4 N 2.31
5 Te 0.0000 0.5000 0.6988  1 Sc 3.14, 4 Pa 3.32, 4 N 3.51
6 Te 0.0000 0.5000 0.1184  5 Sc 2.87-2.94
7 Te 0.5000 0.0000 0.8816  5 Sc 2.87-2.94
8 Te 0.5000 0.0000 0.3012  1 Sc 3.14, 4 Pa 3.32, 4 N 3.51
9 N 0.0000 0.0000 0.5000  4 Pa 2.31
10 N 0.5000 0.5000 0.5000  4 Pa 2.31

---

Compound: BaPtPb2
Source: Alexandria
Functional: PBE
Structure: relaxed

Calculated values
- Size of the total moment: 0.00 μB per formula unit
- E_form: -0.400 eV per atom

Cell lengths 6.4928, 6.4928, 5.8704 Å; angles 63.09, 63.09, 33.12 degrees
Last column: nearest neighbours and their distance in Å.
Fractional coordinates of all 4 atoms:
1 Pb 0.0489 0.0489 0.9506  2 Pt 2.88
2 Pb 0.4511 0.4511 0.5494  2 Pt 2.88
3 Ba 0.2500 0.2500 0.2500  4 Pt 3.47, 8 Pb 3.67-3.77, 2 Ba 3.70
4 Pt 0.7500 0.7500 0.7500  4 Pb 2.88

---

> size of the total moment of number 3 (BeCd2As)?

0.00 μB per formula unit

---

> What is the formula in the ninth record?

CaLa2Sm6Ho3